Material: SrCr2W
Method: DFT, PBE-GGA
State: optimized geometry

Values from the calculation:
The value obtained for the volume is 301 Å³ per cell. The energy of formation is 1258 meV per atom. The density is 8.29 g cm⁻³.

Lattice parameters (Å, degrees): 6.6997 6.6997 6.6997 90.00 90.00 90.00
Space group F-43m (No. 216)
Unique sites:
Sr: 0.0000 0.0000 0.0000 (multiplicity 4)
Cr: 0.0000 0.0000 0.5000 (multiplicity 4)
Cr: 0.2500 0.2500 0.2500 (multiplicity 4)
W: 0.2500 0.2500 0.7500 (multiplicity 4)